A relaxed Pm3Al2GePt9 crystal, computed with GGA-PBE.

Calculated values
The density is 11.86 g/cm³. Its formation energy is -0.67 eV/atom. Its space group is P-3m1. The total magnetization comes out at 0.000 μB/atom.

Cell lengths 6.5892, 6.5892, 8.6284 Å; angles 90.00, 90.00, 120.00 degrees
Element x y z (fractional)
Pm 0.0000 0.0000 0.0000
Pm 0.3333 0.6667 0.7200
Pm 0.6667 0.3333 0.2800
Al 0.3333 0.6667 0.1892
Al 0.6667 0.3333 0.8108
Ge 0.0000 0.0000 0.5000
Pt 0.0000 0.5000 0.0000
Pt 0.1400 0.2801 0.2801
Pt 0.1400 0.8600 0.2801
Pt 0.2801 0.1400 0.7199
Pt 0.5000 0.0000 0.0000
Pt 0.5000 0.5000 0.0000
Pt 0.7199 0.8600 0.2801
Pt 0.8600 0.1400 0.7199
Pt 0.8600 0.7199 0.7199